i | Th2PdRh4 | Alexandria | GGA-PBE | relaxed; magnetic moment = 0.00 μB/f.u.; volume = 20.14 A^3/atom
1.0
-1.970 1.970 9.085
1.970 -1.970 9.085
1.970 1.970 -9.085
Th Pd Rh
2 1 4
Direct
0.111 0.111 0.000
0.889 0.889 0.000
0.500 0.500 0.000
0.250 0.750 0.500
0.353 0.353 0.000
0.647 0.647 0.000
0.750 0.250 0.500

---

ii | Th2PdRh4 | Alexandria | GGA-PBE | relaxed; magnetic moment = 0.00 μB/f.u.; volume = 19.06 A^3/atom
1.0
4.989 -2.768 0.000
4.989 2.768 0.000
0.000 0.000 9.662
Th Pd Rh
4 2 8
Direct
0.157 0.157 0.000
0.343 0.343 0.500
0.657 0.657 0.500
0.843 0.843 0.000
0.000 0.000 0.500
0.500 0.500 0.000
0.152 0.348 0.750
0.180 0.820 0.765
0.320 0.680 0.265
0.348 0.152 0.250
0.652 0.848 0.750
0.680 0.320 0.735
0.820 0.180 0.235
0.848 0.652 0.250

---

Energies relative to the most stable structure are i 0; ii 113, reported in meV per atom.